1.
Material: Ba2MgAs
Method: DFT, PBE
State: optimized geometry

Structure (extended XYZ):
```
4
Lattice="4.2047 0.0000 0.0000 0.0000 4.2050 0.0000 -0.0133 0.0000 8.2863" Properties=species:S:1:pos:R:3 pbc="T T T"
Ba 4.2008 0.0000 1.7139
Ba -0.0094 0.0000 6.5724
Mg 2.0957 2.1025 4.1432
As 2.1024 2.1025 0.0000
```

Total energy, eV/f.u.: -12.35
Crystal system: monoclinic

2.
Material: Ba2MgAs
Method: DFT, PBE
State: optimized geometry

Structure (extended XYZ):
```
4
Lattice="4.8073 0.0000 0.0000 0.0000 4.8073 0.0000 0.0000 0.0000 6.9236" Properties=species:S:1:pos:R:3 pbc="T T T"
Ba 0.0000 0.0000 0.0000
Ba 2.4036 2.4036 2.8012
Mg 0.0000 0.0000 3.6750
As 2.4036 2.4036 6.1433
```

Total energy, eV/f.u.: -11.24
Crystal system: tetragonal

3.
Material: BaMgAs
Method: DFT, PBE
State: optimized geometry

Structure (extended XYZ):
```
3
Lattice="4.5849 0.0000 0.0000 -2.2924 3.9706 0.0000 0.0000 0.0000 4.9935" Properties=species:S:1:pos:R:3 pbc="T T T"
Ba 0.0000 0.0000 0.0000
Mg 2.2924 1.3235 2.4968
As 0.0000 2.6471 2.4968
```

Total energy, eV/f.u.: -10.44
Crystal system: hexagonal

4.
Material: Ba2MgAs
Method: DFT, PBE
State: optimized geometry

Structure (extended XYZ):
```
4
Lattice="0.0000 4.0984 4.0984 4.0984 0.0000 4.0984 4.0984 4.0984 0.0000" Properties=species:S:1:pos:R:3 pbc="T T T"
Ba 0.0000 0.0000 0.0000
Ba 2.0492 2.0492 2.0492
Mg 6.1476 6.1476 6.1476
As 4.0984 4.0984 4.0984
```

Total energy, eV/f.u.: -10.46
Crystal system: cubic

| no. | DFT formation energy (eV per atom) | ΔE to the lowest computed polymorph (meV per atom) |
| --- | --- | --- |
| 1 | -0.56 | 44 |
| 2 | -0.29 | 321 |
| 3 | -0.76 | 11 |
| 4 | -0.09 | 517 |